First-principles (PBE-GGA) data for a geometry-optimized LiTeAu2 structure, as listed in the Alexandria database.

Unit cell a=3.109 b=4.032 c=6.617 alpha=90.00 beta=103.10 gamma=90.00
Positions (direct):
Li1 0.000 0.000 0.000
Te1 0.620 0.500 0.242
Au1 0.400 0.500 0.795
Au2 0.792 0.000 0.580

Computed properties:
SG ... Pm
E_form (uncorrected) ... -281 meV per atom
E ... -3.1837 eV/atom

---

First-principles (PBE-GGA) data for a geometry-optimized LiTeAu2 structure, as listed in the Alexandria database.

Unit cell a=10.416 b=10.416 c=10.416 alpha=157.45 beta=157.45 gamma=32.10
Positions (direct):
Li1 0.000 0.000 0.000
Li2 0.750 0.250 0.500
Te1 0.250 0.750 0.500
Te2 0.500 0.500 0.000
Au1 0.121 0.625 0.996
Au2 0.375 0.371 0.496
Au3 0.629 0.125 0.004
Au4 0.875 0.879 0.504

Computed properties:
SG ... I-42d
E_form (uncorrected) ... -247 meV per atom
E ... -3.1499 eV/atom

---

First-principles (PBE-GGA) data for a geometry-optimized LiTeAu structure, as listed in the Alexandria database.

Unit cell a=7.369 b=7.369 c=7.369 alpha=156.18 beta=156.18 gamma=33.93
Positions (direct):
Li1 0.000 0.000 0.000
Te1 0.337 0.337 0.000
Au1 0.618 0.618 0.000

Computed properties:
SG ... I4mm
E_form (uncorrected) ... -242 meV per atom
E ... -3.0192 eV/atom

---

First-principles (PBE-GGA) data for a geometry-optimized LiTeAu2 structure, as listed in the Alexandria database.

Unit cell a=2.997 b=2.997 c=9.327 alpha=90.00 beta=90.00 gamma=90.17
Positions (direct):
Li1 0.000 0.000 0.000
Te1 0.500 0.500 0.758
Au1 0.000 0.000 0.413
Au2 0.500 0.500 0.191

Computed properties:
SG ... Cmm2
E_form (uncorrected) ... -139 meV per atom
E ... -3.0419 eV/atom

---

First-principles (PBE-GGA) data for a geometry-optimized LiTeAu2 structure, as listed in the Alexandria database.

Unit cell a=3.138 b=4.615 c=5.876 alpha=90.00 beta=90.00 gamma=90.00
Positions (direct):
Li1 0.000 0.000 0.000
Te1 0.500 0.500 0.092
Au1 0.000 0.000 0.557
Au2 0.500 0.500 0.589

Computed properties:
SG ... Pmm2
E_form (uncorrected) ... -270 meV per atom
E ... -3.1723 eV/atom

---

First-principles (PBE-GGA) data for a geometry-optimized LiTe3Au structure, as listed in the Alexandria database.

Unit cell a=5.522 b=5.522 c=5.522 alpha=90.00 beta=90.00 gamma=90.00
Positions (direct):
Li1 0.000 0.000 0.000
Te1 0.000 0.500 0.500
Te2 0.500 0.000 0.500
Te3 0.500 0.500 0.000
Au1 0.500 0.500 0.500

Computed properties:
SG ... Pm-3m
E_form (uncorrected) ... 182 meV per atom
Polymorph energy (0 for the lowest one) ... 437.2 meV per atom
E ... -2.7411 eV/atom

---

First-principles (PBE-GGA) data for a geometry-optimized LiTeAu2 structure, as listed in the Alexandria database.

Unit cell a=2.920 b=2.920 c=9.717 alpha=90.00 beta=90.00 gamma=90.00
Positions (direct):
Li1 0.000 0.000 0.000
Te1 0.000 0.000 0.500
Au1 0.500 0.500 0.188
Au2 0.500 0.500 0.812

Computed properties:
SG ... P4/mmm
E_form (uncorrected) ... -129 meV per atom
E ... -3.0311 eV/atom

---

First-principles (PBE-GGA) data for a geometry-optimized LiTe2Au2 structure, as listed in the Alexandria database.

Unit cell a=7.812 b=7.812 c=3.886 alpha=90.00 beta=90.00 gamma=90.00
Positions (direct):
Li1 0.000 0.000 0.000
Li2 0.500 0.500 0.000
Te1 0.185 0.315 0.000
Te2 0.315 0.815 0.000
Te3 0.685 0.185 0.000
Te4 0.815 0.685 0.000
Au1 0.127 0.627 0.500
Au2 0.373 0.127 0.500
Au3 0.627 0.873 0.500
Au4 0.873 0.373 0.500

Computed properties:
SG ... P4/mbm
E_form (uncorrected) ... -160 meV per atom
Polymorph energy (0 for the lowest one) ... 16.0 meV per atom
E ... -3.1100 eV/atom

---

First-principles (PBE-GGA) data for a geometry-optimized LiTe2Au2 structure, as listed in the Alexandria database.

Unit cell a=7.351 b=7.351 c=7.351 alpha=144.56 beta=144.56 gamma=50.99
Positions (direct):
Li1 0.000 0.000 0.000
Te1 0.250 0.750 0.500
Te2 0.750 0.250 0.500
Au1 0.402 0.402 0.000
Au2 0.598 0.598 0.000

Computed properties:
SG ... I4/mmm
E_form (uncorrected) ... -1 meV per atom
Polymorph energy (0 for the lowest one) ... 175.0 meV per atom
E ... -2.9509 eV/atom

---

First-principles (PBE-GGA) data for a geometry-optimized LiTeAu structure, as listed in the Alexandria database.

Unit cell a=4.926 b=4.926 c=4.926 alpha=132.61 beta=132.61 gamma=69.26
Positions (direct):
Li1 0.000 0.000 0.000
Te1 0.668 0.668 0.000
Au1 0.325 0.325 0.000

Computed properties:
SG ... I4mm
E_form (uncorrected) ... -358 meV per atom
E ... -3.1360 eV/atom

---

First-principles (PBE-GGA) data for a geometry-optimized LiTlTe2Au structure, as listed in the Alexandria database.

Unit cell a=8.565 b=8.565 c=6.015 alpha=90.00 beta=90.00 gamma=140.55
Positions (direct):
Li1 0.250 0.250 0.000
Li2 0.750 0.750 0.000
Tl1 0.250 0.750 0.710
Tl2 0.750 0.250 0.290
Te1 0.127 0.873 0.220
Te2 0.373 0.627 0.220
Te3 0.627 0.373 0.780
Te4 0.873 0.127 0.780
Au1 0.000 0.000 0.500
Au2 0.500 0.500 0.500

Computed properties:
SG ... Cmme
E_form (uncorrected) ... -325 meV per atom
E ... -3.0929 eV/atom

---

First-principles (PBE-GGA) data for a geometry-optimized Li2UTe4Au structure, as listed in the Alexandria database.

Unit cell a=7.472 b=4.226 c=7.531 alpha=90.00 beta=111.56 gamma=90.00
Positions (direct):
Li1 0.000 0.000 0.000
Li2 0.500 0.500 0.000
U1 0.000 0.500 0.500
Te1 0.233 0.000 0.781
Te2 0.276 0.500 0.280
Te3 0.724 0.500 0.720
Te4 0.767 0.000 0.219
Au1 0.500 0.000 0.500

Computed properties:
SG ... P2/m
E_form (uncorrected) ... -564 meV per atom
E ... -4.4340 eV/atom